# 1
## PuMnAl (PBE)

Data for an optimized crystal structure of PuMnAl.

Values from the calculation:
Energy, Ry/atom: -0.657
Energy of formation, eV/atom: 0.142
Fermi-level density of states, states/eV/f.u.: 9.027

abc: 4.736 4.736 2.859
angles: 90.00 90.00 120.00
Fractional positions:
Pu1 0.000 0.000 0.000
Mn1 0.667 0.333 0.500
Al1 0.333 0.667 0.500

***

# 2
## K3Pu2ZrSe6 (PBE)

Data for an optimized crystal structure of K3Pu2ZrSe6.

Values from the calculation:
Energy, Ry/atom: -0.482
Formation energy without anion corrections, eV/atom: -1.435
Fermi-level density of states, states/eV/f.u.: 23.292

abc: 7.242 7.242 8.046
angles: 98.65 98.65 120.01
Fractional positions:
K1 0.000 0.000 0.000
K2 0.331 0.669 0.000
K3 0.669 0.331 0.000
Pu1 0.166 0.834 0.500
Pu2 0.834 0.166 0.500
Zr1 0.500 0.500 0.500
Se1 0.115 0.432 0.296
Se2 0.252 0.252 0.704
Se3 0.432 0.115 0.296
Se4 0.568 0.885 0.704
Se5 0.748 0.748 0.296
Se6 0.885 0.568 0.704

***

# 3
## Re2NiH2 (PBE)

Data for an optimized crystal structure of Re2NiH2.

Values from the calculation:
Energy, Ry/atom: -0.522
Fermi-level density of states, states/eV/f.u.: 2.005

abc: 5.571 5.571 3.026
angles: 90.00 90.00 90.00
Fractional positions:
Re1 0.156 0.344 0.000
Re2 0.344 0.844 0.000
Re3 0.656 0.156 0.000
Re4 0.844 0.656 0.000
Ni1 0.000 0.000 0.500
Ni2 0.500 0.500 0.500
H1 0.200 0.700 0.500
H2 0.300 0.200 0.500
H3 0.700 0.800 0.500
H4 0.800 0.300 0.500

***

# 4
## Li2TlGeO (PBE)

Data for an optimized crystal structure of Li2TlGeO.

Values from the calculation:
Energy, Ry/atom: -0.241
Formation energy without anion corrections, eV/atom: -0.122
Fermi-level density of states, states/eV/f.u.: 2.976

abc: 5.063 5.063 4.020
angles: 90.00 90.00 90.00
Fractional positions:
Li1 0.000 0.500 0.000
Li2 0.500 0.000 0.000
Tl1 0.000 0.000 0.500
Ge1 0.500 0.500 0.000
O1 0.500 0.500 0.500

***

# 5
## Pm10Dy4Th (PBE)

Data for an optimized crystal structure of Pm10Dy4Th.

Values from the calculation:
Energy, Ry/atom: -0.325
Energy of formation, eV/atom: 0.463
Fermi-level density of states, states/eV/f.u.: 26.211

abc: 8.930 8.930 8.930
angles: 112.09 112.09 104.35
Fractional positions:
Pm1 0.050 0.947 0.343
Pm2 0.053 0.396 0.103
Pm3 0.250 0.750 0.500
Pm4 0.293 0.950 0.897
Pm5 0.396 0.293 0.343
Pm6 0.604 0.707 0.657
Pm7 0.707 0.050 0.103
Pm8 0.750 0.250 0.500
Pm9 0.947 0.604 0.897
Pm10 0.950 0.053 0.657
Dy1 0.220 0.441 0.661
Dy2 0.441 0.780 0.220
Dy3 0.559 0.220 0.780
Dy4 0.780 0.559 0.339
Th1 0.000 0.000 0.000

***

# 6
## HoGeCl (PBE)

Data for an optimized crystal structure of HoGeCl.

Values from the calculation:
Energy, Ry/atom: -0.358
Formation energy without anion corrections, eV/atom: -1.196
Fermi-level density of states, states/eV/f.u.: 0.706

abc: 10.925 10.925 7.748
angles: 94.12 94.12 20.67
Fractional positions:
Ho1 0.148 0.148 0.094
Ho2 0.149 0.149 0.611
Ho3 0.851 0.851 0.389
Ho4 0.852 0.852 0.906
Ge1 0.250 0.250 0.376
Ge2 0.253 0.253 0.872
Ge3 0.747 0.747 0.128
Ge4 0.750 0.750 0.624
Cl1 0.066 0.066 0.335
Cl2 0.404 0.404 0.159
Cl3 0.596 0.596 0.841
Cl4 0.934 0.934 0.665